A plane-wave DFT calculation with PBEsol was carried out for ZrMo2C after structural relaxation.

a = 2.9922 Å, b = 2.9922 Å, c = 6.4592 Å
α = 90.00°, β = 90.00°, γ = 90.00°
Closest atoms and distances in Å follow each position.
Element x y z (fractional)
Zr 0.0000 0.0000 0.0000  5 Mo 2.75-2.89, 4 Zr 2.99, 4 C 3.05
Mo 0.0000 0.0000 0.4251  4 C 2.19
Mo 0.5000 0.5000 0.6951  1 C 2.30
C 0.5000 0.5000 0.3394  5 Mo 2.19-2.30

Properties
Crystal system: tetragonal
Density of states at the Fermi level, states/eV/cell: 1.9
Calculated formation energy, eV/atom: 0.2795